VASP calculation (GGA-PBE) on a geometry-optimized Rb2NaHf structure.

Structure (extended XYZ):
```
8
Lattice="-5.169 5.169 3.749 5.169 -5.169 3.749 5.169 5.169 -3.749" Properties=species:S:1:pos:R:3 pbc="T T T"
Rb 7.753 2.419 -0.937
Rb 2.419 2.584 0.937
Rb -2.584 2.750 2.812
Rb 2.750 2.584 4.686
Na 0.000 0.000 0.000
Na 0.000 5.169 1.875
Hf 5.169 0.000 1.875
Hf 0.000 0.000 3.749
```

Properties
- raw total energy (eV per atom) = -2.060
- E above lowest polymorph (eV/atom) = 0.087
- E_form (eV per atom) = 1.24

***

VASP calculation (GGA-PBE) on a geometry-optimized Tb2PrC structure.

Structure (extended XYZ):
```
4
Lattice="1.807 1.043 9.386 -1.807 1.043 9.386 0.000 -2.086 9.386" Properties=species:S:1:pos:R:3 pbc="T T T"
Tb 0.000 0.000 0.000
Tb 0.000 0.000 6.658
Pr 0.000 0.000 22.047
C 0.000 0.000 17.410
```

Properties
- raw total energy (eV per atom) = -5.972
- E above lowest polymorph (eV/atom) = 0.000
- E_form (eV per atom) = -0.16

***

VASP calculation (GGA-PBE) on a geometry-optimized TiRh3Au structure.

Structure (extended XYZ):
```
5
Lattice="4.510 0.000 0.000 0.000 4.510 0.000 0.000 0.000 4.510" Properties=species:S:1:pos:R:3 pbc="T T T"
Ti 0.000 0.000 0.000
Rh 0.000 0.000 2.255
Rh 0.000 2.255 0.000
Rh 2.255 0.000 0.000
Au 2.255 2.255 2.255
```

Properties
- raw total energy (eV per atom) = -6.058
- E above lowest polymorph (eV/atom) = 0.000
- E_form (eV per atom) = 0.59

***

- Look up the raw total energy of the second one.
  -5.972 eV per atom

***

- Look up the raw total energy of the third one.
  -6.058 eV per atom